Record 1
Computed, not measured: SrCa2 at its PBEsol-relaxed geometry at the SCAN level of DFT.

relative energy among the computed polymorphs = 0 kJ/mol of formula units
spin magnetization = 0.168 μB/atom
DFT formation energy = 14 meV/atom
D(E_F) = 0.883 states/eV per atom

```
data_SrCa2
_chemical_formula_sum 'Sr2 Ca4'
_space_group_name_H-M_alt 'I 4/m m m'
_space_group_IT_number 139
_space_group_name_Hall '-I 4 2'
_cell_length_a 3.975
_cell_length_b 3.975
_cell_length_c 16.717
_cell_angle_alpha 90.00
_cell_angle_beta 90.00
_cell_angle_gamma 90.00
loop_
_atom_site_label
_atom_site_type_symbol
_atom_site_fract_x
_atom_site_fract_y
_atom_site_fract_z
Sr1 Sr 0.000 0.000 0.000
Ca1 Ca 0.000 0.000 0.328
```



Record 2
Computed, not measured: LiAg2 at its PBEsol-relaxed geometry at the SCAN level of DFT.

relative energy among the computed polymorphs = 2 kJ/mol of formula units
spin magnetization = 0.000 μB/atom
DFT formation energy = -151 meV/atom
D(E_F) = 0.252 states/eV per atom

```
data_LiAg2
_chemical_formula_sum 'Li2 Ag4'
_space_group_name_H-M_alt 'I m m m'
_space_group_IT_number 71
_space_group_name_Hall '-I 2 2'
_cell_length_a 2.817
_cell_length_b 3.999
_cell_length_c 8.464
_cell_angle_alpha 90.00
_cell_angle_beta 90.00
_cell_angle_gamma 90.00
loop_
_atom_site_label
_atom_site_type_symbol
_atom_site_fract_x
_atom_site_fract_y
_atom_site_fract_z
Li1 Li 0.000 0.000 0.000
Ag1 Ag 0.000 0.000 0.335
```



Record 3
Computed, not measured: Cr3GeB at its PBEsol-relaxed geometry at the SCAN level of DFT.

spin magnetization = 0.001 μB/atom
DFT formation energy = 252 meV/atom
D(E_F) = 0.968 states/eV per atom

```
data_Cr3GeB
_chemical_formula_sum 'Cr3 Ge1 B1'
_space_group_name_H-M_alt 'P m -3 m'
_space_group_IT_number 221
_space_group_name_Hall '-P 4 2 3'
_cell_length_a 3.851
_cell_length_b 3.851
_cell_length_c 3.851
_cell_angle_alpha 90.00
_cell_angle_beta 90.00
_cell_angle_gamma 90.00
loop_
_atom_site_label
_atom_site_type_symbol
_atom_site_fract_x
_atom_site_fract_y
_atom_site_fract_z
Cr1 Cr 0.000 0.000 0.500
Ge1 Ge 0.500 0.500 0.500
B1 B 0.000 0.000 0.000
```



Record 4
Computed, not measured: Mg2Tl at its PBEsol-relaxed geometry at the SCAN level of DFT.

spin magnetization = 0.000 μB/atom
DFT formation energy = -90 meV/atom
D(E_F) = 0.379 states/eV per atom

```
data_Mg2Tl
_chemical_formula_sum 'Mg8 Tl4'
_space_group_name_H-M_alt 'C 1 m 1'
_space_group_IT_number 8
_space_group_name_Hall 'C -2y'
_cell_length_a 11.291
_cell_length_b 3.401
_cell_length_c 7.518
_cell_angle_alpha 90.00
_cell_angle_beta 102.33
_cell_angle_gamma 90.00
loop_
_atom_site_label
_atom_site_type_symbol
_atom_site_fract_x
_atom_site_fract_y
_atom_site_fract_z
Mg1 Mg 0.000 0.000 0.000
Mg2 Mg 0.061 0.000 0.600
Mg3 Mg 0.220 0.500 0.931
Mg4 Mg 0.375 0.000 0.271
Tl1 Tl 0.154 0.500 0.315
Tl2 Tl 0.345 0.000 0.675
```



| no. | energy (eV per formula unit) |
| --- | --- |
| 1 | -41.561 |
| 2 | -65.575 |
| 3 | -80.410 |
| 4 | -82.576 |